Entry 1:
First-principles (GGA-PBEsol) data for an optimized crystal structure of MgMnAg, as listed in Alexandria.

- energy (eV/atom) = -4.42
- E_form (eV per atom) = 0.5106

Geometry as POSCAR:
```
MgMnAg
1.0
4.413 0.000 0.000
2.206 3.822 0.000
2.206 1.274 3.603
Mg Mn Ag
1 1 1
Cartesian
0.000 0.000 0.000
4.413 2.548 1.802
6.619 3.822 2.702
```

***

Entry 2:
First-principles (GGA-PBEsol) data for an optimized crystal structure of BaAuBr, as listed in Alexandria.

- energy (eV/atom) = -3.80
- energy relative to the elements, uncorrected (kJ per mole of atoms) = -110.8

Geometry as POSCAR:
```
BaAuBr
1.0
-3.419 3.120 2.702
-4.494 -2.089 2.042
-0.524 -0.564 5.305
Ba Br Au
1 1 1
Cartesian
-2.109 0.117 2.512
0.000 0.000 0.000
-4.219 0.233 5.024
```

***

Entry 3:
First-principles (GGA-PBEsol) data for an optimized crystal structure of FeCuRh2, as listed in Alexandria.

- energy (eV/atom) = -7.34
- E_form (eV per atom) = 0.0526

Geometry as POSCAR:
```
FeCuRh2
1.0
-1.644 -1.724 -1.133
-0.179 -0.695 4.387
-3.174 3.299 -0.414
Rh Fe Cu
2 1 1
Cartesian
-1.303 0.038 1.833
-3.693 0.842 1.007
-1.587 1.649 -0.207
-0.822 -0.862 -0.567
```

***

Entry 4:
First-principles (GGA-PBEsol) data for an optimized crystal structure of TaBe2Os, as listed in Alexandria.

- energy (eV/atom) = -8.47
- polymorph energy (0 for the lowest one) (eV per formula unit) = 0.000
- E_form (eV per atom) = -0.2773

Geometry as POSCAR:
```
TaBe2Os
1.0
2.973 0.000 0.000
0.000 3.495 0.000
-1.487 0.000 4.452
Be Os Ta
2 1 1
Cartesian
0.000 0.000 1.626
0.000 1.747 0.514
0.000 0.000 4.188
1.487 1.747 2.557
```

***

Entry 5:
First-principles (GGA-PBEsol) data for an optimized crystal structure of AlZn3, as listed in Alexandria.

- energy (eV/atom) = -2.19
- E_form (eV per atom) = 0.0221

Geometry as POSCAR:
```
AlZn3
1.0
-1.386 1.227 2.019
-3.294 -0.437 -1.995
-0.819 -4.922 2.429
Al Zn
1 3
Cartesian
0.000 0.000 0.000
-0.409 -2.461 1.214
-2.548 -0.853 0.628
-2.951 -3.279 1.825
```

***

Entry 6:
First-principles (GGA-PBEsol) data for an optimized crystal structure of ScTa2Rh, as listed in Alexandria.

- energy (eV/atom) = -10.11
- polymorph energy (0 for the lowest one) (eV per formula unit) = 0.439
- E_form (eV per atom) = -0.1474

Geometry as POSCAR:
```
ScTa2Rh
1.0
2.859 0.006 0.000
-1.142 5.044 0.000
-0.859 -2.525 4.671
Ta Rh Sc
2 1 1
Cartesian
0.429 1.263 2.336
-0.429 -1.263 2.336
1.430 0.003 0.000
-0.571 2.522 0.000
```